Density functional theory data (PBE) for an optimized crystal structure of HoThCdAg.

## Properties
ΔE_f, eV/atom: -0.131
Calculated total energy, eV/atom: -4.072
Magnetic moment, μB/f.u.: 0.87

a b c (Å): 7.4942 7.4942 7.4942
angles (deg): 90.00 90.00 90.00
Space group F-43m (No. 216)
Asymmetric unit:
Ho  0.0000  0.0000  0.0000
Th  0.0000  0.0000  0.5000
Cd  0.2500  0.2500  0.2500
Ag  0.2500  0.2500  0.7500